Record 1
VASP calculation (PBE) on crystalline Mg2ReCl at its relaxed geometry.

Summary:
energy above the most stable polymorph in this dataset = 370 meV/atom

```
data_Mg2ReCl
_chemical_formula_sum 'Mg2 Re1 Cl1'
_symmetry_space_group_name_H-M 'P 4/m m m'
_symmetry_Int_Tables_number 123
_symmetry_space_group_name_Hall '-P 4 2'
_cell_length_a 5.074
_cell_length_b 5.074
_cell_length_c 2.873
_cell_angle_alpha 90.00
_cell_angle_beta 90.00
_cell_angle_gamma 90.00
loop_
_atom_site_label
_atom_site_type_symbol
_atom_site_fract_x
_atom_site_fract_y
_atom_site_fract_z
_atom_site_occupancy
Mg1 Mg 0.000 0.500 0.000 1
Re1 Re 0.000 0.000 0.500 1
Cl1 Cl 0.500 0.500 0.500 1
```

Record 2
VASP calculation (PBE) on crystalline MgRe4Cl at its relaxed geometry.

```
data_MgRe4Cl
_chemical_formula_sum 'Mg4 Re16 Cl4'
_symmetry_space_group_name_H-M 'F -4 3 m'
_symmetry_Int_Tables_number 216
_symmetry_space_group_name_Hall 'F -4 2 3'
_cell_length_a 7.478
_cell_length_b 7.478
_cell_length_c 7.478
_cell_angle_alpha 90.00
_cell_angle_beta 90.00
_cell_angle_gamma 90.00
loop_
_atom_site_label
_atom_site_type_symbol
_atom_site_fract_x
_atom_site_fract_y
_atom_site_fract_z
_atom_site_occupancy
Mg1 Mg 0.000 0.000 0.000 1
Re1 Re 0.124 0.124 0.624 1
Cl1 Cl 0.250 0.250 0.250 1
```

Record 3
VASP calculation (PBE) on crystalline MgReCl2 at its relaxed geometry.

Summary:
energy above the most stable polymorph in this dataset = 122 meV/atom

```
data_MgReCl2
_chemical_formula_sum 'Mg2 Re2 Cl4'
_symmetry_space_group_name_H-M 'C 1 2/m 1'
_symmetry_Int_Tables_number 12
_cell_length_a 14.581
_cell_length_b 2.981
_cell_length_c 4.804
_cell_angle_alpha 90.00
_cell_angle_beta 95.39
_cell_angle_gamma 90.00
loop_
_symmetry_equiv_pos_as_xyz
'x,y,z'
'-x,-y,-z'
'-x,y,-z'
'x,-y,z'
'x+1/2,y+1/2,z'
'-x+1/2,-y+1/2,-z'
'-x+1/2,y+1/2,-z'
'x+1/2,-y+1/2,z'
loop_
_atom_site_label
_atom_site_type_symbol
_atom_site_fract_x
_atom_site_fract_y
_atom_site_fract_z
_atom_site_occupancy
Mg1 Mg 0.000 0.000 0.000 1
Re1 Re 0.000 0.500 0.500 1
Cl1 Cl 0.145 0.500 0.730 1
```

Record 4
VASP calculation (PBE) on crystalline Mg2ReCl at its relaxed geometry.

Summary:
energy above the most stable polymorph in this dataset = 352 meV/atom

```
data_Mg2ReCl
_chemical_formula_sum 'Mg4 Re2 Cl2'
_symmetry_space_group_name_H-M 'C m m m'
_symmetry_Int_Tables_number 65
_symmetry_space_group_name_Hall '-C 2 2'
_cell_length_a 6.159
_cell_length_b 7.956
_cell_length_c 2.881
_cell_angle_alpha 90.00
_cell_angle_beta 90.00
_cell_angle_gamma 90.00
loop_
_atom_site_label
_atom_site_type_symbol
_atom_site_fract_x
_atom_site_fract_y
_atom_site_fract_z
_atom_site_occupancy
Mg1 Mg 0.250 0.250 0.000 1
Re1 Re 0.000 0.000 0.500 1
Cl1 Cl 0.000 0.500 0.500 1
```

Record 5
VASP calculation (PBE) on crystalline MgRe2Cl2 at its relaxed geometry.

Summary:
energy above the most stable polymorph in this dataset = 309 meV/atom

```
data_MgRe2Cl2
_chemical_formula_sum 'Mg2 Re4 Cl4'
_symmetry_space_group_name_H-M 'I 4/m m m'
_symmetry_Int_Tables_number 139
_symmetry_space_group_name_Hall '-I 4 2'
_cell_length_a 4.153
_cell_length_b 4.153
_cell_length_c 10.416
_cell_angle_alpha 90.00
_cell_angle_beta 90.00
_cell_angle_gamma 90.00
loop_
_atom_site_label
_atom_site_type_symbol
_atom_site_fract_x
_atom_site_fract_y
_atom_site_fract_z
_atom_site_occupancy
Mg1 Mg 0.000 0.000 0.000 1
Re1 Re 0.000 0.500 0.250 1
Cl1 Cl 0.000 0.000 0.365 1
```

Record 6
VASP calculation (PBE) on crystalline MgRe2Cl at its relaxed geometry.

Summary:
energy above the most stable polymorph in this dataset = 0 meV/atom

```
data_MgRe2Cl
_chemical_formula_sum 'Mg1 Re2 Cl1'
_symmetry_space_group_name_H-M 'P 4 m m'
_symmetry_Int_Tables_number 99
_cell_length_a 3.032
_cell_length_b 3.032
_cell_length_c 7.759
_cell_angle_alpha 90.00
_cell_angle_beta 90.00
_cell_angle_gamma 90.00
loop_
_symmetry_equiv_pos_as_xyz
'x,y,z'
'-y,x,z'
'-x,-y,z'
'y,-x,z'
'-x,y,z'
'y,x,z'
'x,-y,z'
'-y,-x,z'
loop_
_atom_site_label
_atom_site_type_symbol
_atom_site_fract_x
_atom_site_fract_y
_atom_site_fract_z
_atom_site_occupancy
Mg1 Mg 0.000 0.000 0.000 1
Re1 Re 0.000 0.000 0.442 1
Re2 Re 0.500 0.500 0.265 1
Cl1 Cl 0.500 0.500 0.780 1
```

Record 7
VASP calculation (PBE) on crystalline MgRe2Cl at its relaxed geometry.

Summary:
energy above the most stable polymorph in this dataset = 1423 meV/atom

```
data_MgRe2Cl
_chemical_formula_sum 'Mg4 Re8 Cl4'
_symmetry_space_group_name_H-M 'F m -3 m'
_symmetry_Int_Tables_number 225
_symmetry_space_group_name_Hall '-F 4 2 3'
_cell_length_a 6.266
_cell_length_b 6.266
_cell_length_c 6.266
_cell_angle_alpha 90.00
_cell_angle_beta 90.00
_cell_angle_gamma 90.00
loop_
_atom_site_label
_atom_site_type_symbol
_atom_site_fract_x
_atom_site_fract_y
_atom_site_fract_z
_atom_site_occupancy
Mg1 Mg 0.000 0.000 0.000 1
Re1 Re 0.250 0.250 0.250 1
Cl1 Cl 0.000 0.000 0.500 1
```

Record 8
VASP calculation (PBE) on crystalline MgReCl at its relaxed geometry.

Summary:
energy above the most stable polymorph in this dataset = 106 meV/atom

```
data_MgReCl
_chemical_formula_sum 'Mg4 Re4 Cl4'
_symmetry_space_group_name_H-M 'F m m 2'
_symmetry_Int_Tables_number 42
_symmetry_space_group_name_Hall 'F 2 -2'
_cell_length_a 3.121
_cell_length_b 4.743
_cell_length_c 16.321
_cell_angle_alpha 90.00
_cell_angle_beta 90.00
_cell_angle_gamma 90.00
loop_
_atom_site_label
_atom_site_type_symbol
_atom_site_fract_x
_atom_site_fract_y
_atom_site_fract_z
_atom_site_occupancy
Mg1 Mg 0.000 0.000 0.000 1
Re1 Re 0.000 0.000 0.360 1
Cl1 Cl 0.000 0.000 0.608 1
```

Number 1: ΔE_f (raw) 0.81 eV per formula unit, E -4.168 eV per atom. Number 2: ΔE_f (raw) 5.69 eV per formula unit, E -7.924 eV per atom. Number 3: ΔE_f (raw) -0.11 eV per formula unit, E -4.462 eV per atom. Number 4: ΔE_f (raw) 0.74 eV per formula unit, E -4.185 eV per atom. Number 5: ΔE_f (raw) 5.24 eV per formula unit, E -4.989 eV per atom. Number 6: ΔE_f (raw) 0.22 eV per formula unit, E -7.029 eV per atom. Number 7: ΔE_f (raw) 5.91 eV per formula unit, E -5.607 eV per atom. Number 8: ΔE_f (raw) 0.96 eV per formula unit, E -4.977 eV per atom.